Entry 1:
Below is Zr2AlCdH after structural relaxation, with properties calculated at the PBE-GGA level.

Properties
The energy above the most stable polymorph in this dataset is 0 meV/atom.

Lattice parameters (Å, degrees): 4.3197 4.3197 4.5072 90.00 90.00 90.00
Last column: nearest neighbours and their distance in Å.
Atoms (fractional coordinates):
H1 0.0000 0.0000 0.0000  4 Zr 2.16, 2 Cd 2.25
Zr1 0.0000 0.5000 0.0000  2 H 2.16
Zr2 0.5000 0.0000 0.0000  2 H 2.16
Cd1 0.0000 0.0000 0.5000  2 H 2.25
Al1 0.5000 0.5000 0.5000  4 Cd 3.05, 8 Zr 3.12

Entry 2:
Below is K2Cd3Hg5 after structural relaxation, with properties calculated at the PBE-GGA level.

Properties
Its formation energy is -0.1421 eV/atom. The energy above the most stable polymorph in this dataset is 13 meV/atom.

Lattice parameters (Å, degrees): 5.0809 5.0809 12.0997 90.00 90.00 90.00
Last column: nearest neighbours and their distance in Å.
Atoms (fractional coordinates):
Hg1 0.5000 0.0000 0.8594  1 Cd 2.86, 4 Hg 3.06
Hg2 0.0000 0.5000 0.1406  1 Cd 2.86, 4 Hg 3.06
Hg3 0.0000 0.0000 0.0000  4 Hg 3.06
Hg4 0.5000 0.5000 0.0000  4 Hg 3.06
Hg5 0.5000 0.5000 0.5000  4 Cd 2.94
Cd1 0.0000 0.5000 0.3769  3 Hg 2.86-2.94, 2 Cd 2.94
Cd2 0.5000 0.0000 0.6231  3 Hg 2.86-2.94, 2 Cd 2.94
Cd3 0.0000 0.0000 0.5000  4 Cd 2.94
K1 0.0000 0.5000 0.7524  10 Hg 3.82-3.97, 6 Cd 3.92-3.97
K2 0.5000 0.0000 0.2476  10 Hg 3.82-3.97, 6 Cd 3.92-3.97

Entry 3:
Below is SrMg3Rh2 after structural relaxation, with properties calculated at the PBE-GGA level.

Properties
Its formation energy is -0.3249 eV/atom.

Lattice parameters (Å, degrees): 4.3608 8.3135 8.3886 115.18 90.00 105.20
Last column: nearest neighbours and their distance in Å.
Atoms (fractional coordinates):
Rh1 0.1852 0.3705 0.6641  6 Mg 2.64-2.82
Rh2 0.5165 0.0329 0.1617  1 Rh 2.53, 4 Mg 2.62-2.67
Rh3 0.8148 0.6295 0.3359  6 Mg 2.64-2.82
Rh4 0.4835 0.9671 0.8383  1 Rh 2.53, 4 Mg 2.62-2.67
Mg1 0.9637 0.9273 0.6447  3 Rh 2.64-2.65
Mg2 0.6016 0.2033 0.7003  3 Rh 2.62-2.65, 1 Mg 2.91
Mg3 0.3194 0.6388 0.5527  4 Rh 2.67-2.82, 3 Mg 2.91-2.96
Mg4 0.3984 0.7967 0.2997  3 Rh 2.62-2.65, 1 Mg 2.91
Mg5 0.0363 0.0727 0.3553  3 Rh 2.64-2.65
Mg6 0.6806 0.3612 0.4473  4 Rh 2.67-2.82, 3 Mg 2.91-2.96
Sr1 0.8521 0.7042 0.9268  6 Rh 3.32-3.40, 7 Mg 3.51-3.66
Sr2 0.1479 0.2958 0.0732  6 Rh 3.32-3.40, 7 Mg 3.51-3.66

Entry 4:
Below is EuAlZn after structural relaxation, with properties calculated at the PBE-GGA level.

Properties
Its formation energy is -0.2965 eV/atom.

Lattice parameters (Å, degrees): 3.7445 4.6415 4.6415 120.00 90.00 90.00
Last column: nearest neighbours and their distance in Å.
Atoms (fractional coordinates):
Al1 0.1666 0.3333 0.6667  3 Zn 2.68
Eu1 0.6666 0.6667 0.3333  6 Zn 3.27, 6 Al 3.27
Zn1 0.1667 0.0000 0.0000  3 Al 2.68

Entry 5:
Below is Fe2TcGe2 after structural relaxation, with properties calculated at the PBE-GGA level.

Properties
Its formation energy is 0.0644 eV/atom. The energy above the most stable polymorph in this dataset is 0 meV/atom.

Lattice parameters (Å, degrees): 6.8675 6.8675 2.7348 90.00 90.00 90.00
Last column: nearest neighbours and their distance in Å.
Atoms (fractional coordinates):
Fe1 0.6478 0.8522 0.5000  6 Ge 2.39-2.46
Fe2 0.1478 0.6478 0.5000  6 Ge 2.39-2.46
Fe3 0.8522 0.3522 0.5000  6 Ge 2.39-2.46
Fe4 0.3522 0.1478 0.5000  6 Ge 2.39-2.46
Ge1 0.3498 0.8498 0.0000  6 Fe 2.39-2.46, 2 Tc 2.61
Ge2 0.8498 0.6502 0.0000  6 Fe 2.39-2.46, 2 Tc 2.61
Ge3 0.6502 0.1502 0.0000  6 Fe 2.39-2.46, 2 Tc 2.61
Ge4 0.1502 0.3498 0.0000  6 Fe 2.39-2.46, 2 Tc 2.61
Tc1 0.0000 0.0000 0.0000  4 Ge 2.61, 2 Tc 2.73
Tc2 0.5000 0.5000 0.0000  4 Ge 2.61, 2 Tc 2.73

Entry 6:
Below is OsRhAu2 after structural relaxation, with properties calculated at the PBE-GGA level.

Properties
Its formation energy is 0.5364 eV/atom. The energy above the most stable polymorph in this dataset is 322 meV/atom.

Lattice parameters (Å, degrees): 2.7798 2.7798 9.7247 90.00 90.00 119.91
Last column: nearest neighbours and their distance in Å.
Atoms (fractional coordinates):
Rh1 0.5000 0.5000 0.0000  4 Au 2.78, 6 Rh 2.78
Au1 0.0000 0.0000 0.2474  2 Rh 2.78, 6 Au 2.78, 2 Os 2.82
Au2 0.0000 0.0000 0.7526  2 Rh 2.78, 6 Au 2.78, 2 Os 2.82
Os1 0.5000 0.5000 0.5000  6 Os 2.78, 4 Au 2.82

Entry 7:
Below is KCaC2 after structural relaxation, with properties calculated at the PBE-GGA level.

Properties
Its formation energy is 1.8495 eV/atom. The energy above the most stable polymorph in this dataset is 0 meV/atom.

Lattice parameters (Å, degrees): 4.4298 4.4298 9.0475 75.83 75.83 90.00
Last column: nearest neighbours and their distance in Å.
Atoms (fractional coordinates):
K1 0.5000 0.5000 0.0000  4 Ca 3.13, 8 C 3.26
K2 0.2500 0.7500 0.5000  4 Ca 3.13, 8 C 3.26
Ca1 0.0000 0.0000 0.0000  4 C 2.39
Ca2 0.7500 0.2500 0.5000  4 C 2.39
C1 0.8750 0.1250 0.7500  2 C 2.21, 2 Ca 2.39
C2 0.8750 0.6250 0.2500  2 C 2.21, 2 Ca 2.39
C3 0.8750 0.1250 0.2500  2 C 2.21, 2 Ca 2.39
C4 0.3750 0.1250 0.7500  2 C 2.21, 2 Ca 2.39

Entry 8:
Below is NaB6 after structural relaxation, with properties calculated at the PBE-GGA level.

Properties
Its formation energy is 0.5973 eV/atom. The energy above the most stable polymorph in this dataset is 619 meV/atom.

Lattice parameters (Å, degrees): 4.3528 4.3528 4.3528 109.47 109.47 109.47
Last column: nearest neighbours and their distance in Å.
Atoms (fractional coordinates):
B1 0.5000 0.2500 0.7500  4 B 1.78
B2 0.7500 0.5000 0.2500  4 B 1.78
B3 0.2500 0.5000 0.7500  4 B 1.78
B4 0.2500 0.7500 0.5000  4 B 1.78
B5 0.5000 0.7500 0.2500  4 B 1.78
B6 0.7500 0.2500 0.5000  4 B 1.78
Na1 0.0000 0.0000 0.0000  24 B 2.81